Model one:
The following is a PBE calculation of crystalline GaBP3 at its relaxed geometry, from Alexandria via LeMat-Bulk.

a b c (Å): 4.6817 4.6817 4.6817
angles (deg): 90.00 90.00 90.00
Closest atoms and distances in Å follow each position.
Fractional coordinates of all 5 atoms:
1 Ga 0.0000 0.0000 0.0000  6 P 2.34
2 B 0.5000 0.5000 0.5000  12 P 3.31
3 P 0.0000 0.0000 0.5000  2 Ga 2.34
4 P 0.0000 0.5000 0.0000  2 Ga 2.34
5 P 0.5000 0.0000 0.0000  2 Ga 2.34

Model two:
The following is a PBE calculation of crystalline GaBP3 at its relaxed geometry, from Alexandria via LeMat-Bulk.

a b c (Å): 4.1757 4.1757 4.1757
angles (deg): 90.00 90.00 90.00
Closest atoms and distances in Å follow each position.
Fractional coordinates of all 5 atoms:
1 Ga 0.0000 0.0000 0.0000  12 P 2.95
2 B 0.5000 0.5000 0.5000  6 P 2.09
3 P 0.0000 0.5000 0.5000  2 B 2.09
4 P 0.5000 0.0000 0.5000  2 B 2.09
5 P 0.5000 0.5000 0.0000  2 B 2.09

The least stable of them is model one.

Model one:
The following is a PBE calculation of crystalline GaBP2 at its relaxed geometry, from Alexandria via LeMat-Bulk.

a b c (Å): 6.0570 6.0570 6.0570
angles (deg): 130.54 130.54 72.54
Closest atoms and distances in Å follow each position.
Fractional coordinates of all 8 atoms:
1 Ga 0.0000 0.0000 0.0000  4 P 2.35
2 Ga 0.7500 0.2500 0.5000  4 P 2.35
3 B 0.2500 0.7500 0.5000  4 P 2.01
4 B 0.5000 0.5000 0.0000  4 P 2.01
5 P 0.1830 0.6250 0.0580  2 B 2.01
6 P 0.3750 0.4330 0.5580  2 B 2.01
7 P 0.5670 0.1250 0.9420  2 B 2.01
8 P 0.8750 0.8170 0.4420  2 B 2.01

Model two:
The following is a PBE calculation of crystalline GaBP2 at its relaxed geometry, from Alexandria via LeMat-Bulk.

a b c (Å): 4.2460 4.2460 4.2460
angles (deg): 60.00 60.00 60.00
Closest atoms and distances in Å follow each position.
Fractional coordinates of all 4 atoms:
1 Ga 0.0000 0.0000 0.0000  8 P 2.60
2 B 0.5000 0.5000 0.5000  8 P 2.60
3 P 0.2500 0.2500 0.2500  4 B 2.60, 4 Ga 2.60
4 P 0.7500 0.7500 0.7500  4 B 2.60, 4 Ga 2.60

The least stable of them is model two.

Model one:
The following is a PBE calculation of crystalline GaBP2S at its relaxed geometry, from Alexandria via LeMat-Bulk.

a b c (Å): 4.6684 4.6684 4.7594
angles (deg): 90.00 90.00 90.00
Closest atoms and distances in Å follow each position.
Fractional coordinates of all 5 atoms:
1 Ga 0.0000 0.0000 0.0000  4 P 2.33, 2 S 2.38
2 B 0.5000 0.5000 0.5000  4 S 3.30, 8 P 3.33
3 P 0.0000 0.5000 0.0000  2 Ga 2.33
4 P 0.5000 0.0000 0.0000  2 Ga 2.33
5 S 0.0000 0.0000 0.5000  2 Ga 2.38

Model two:
The following is a PBE calculation of crystalline GaBP2S at its relaxed geometry, from Alexandria via LeMat-Bulk.

a b c (Å): 4.1710 4.1710 4.2932
angles (deg): 90.00 90.00 90.00
Closest atoms and distances in Å follow each position.
Fractional coordinates of all 5 atoms:
1 Ga 0.0000 0.0000 0.0000  4 S 2.95, 8 P 2.99
2 B 0.5000 0.5000 0.5000  4 P 2.09, 2 S 2.15
3 P 0.0000 0.5000 0.5000  2 B 2.09
4 P 0.5000 0.0000 0.5000  2 B 2.09
5 S 0.5000 0.5000 0.0000  2 B 2.15

The least stable of them is model one.

Model one:
The following is a PBE calculation of crystalline Ga2BPb at its relaxed geometry, from Alexandria via LeMat-Bulk.

a b c (Å): 4.8441 4.8441 4.8441
angles (deg): 60.00 60.00 60.00
Closest atoms and distances in Å follow each position.
Fractional coordinates of all 4 atoms:
1 Ga 0.2500 0.2500 0.2500  4 Pb 2.97, 4 B 2.97
2 Ga 0.7500 0.7500 0.7500  4 Pb 2.97, 4 B 2.97
3 B 0.0000 0.0000 0.0000  8 Ga 2.97
4 Pb 0.5000 0.5000 0.5000  8 Ga 2.97

Model two:
The following is a PBE calculation of crystalline Ga2BPb at its relaxed geometry, from Alexandria via LeMat-Bulk.

a b c (Å): 6.3077 6.3077 6.3077
angles (deg): 120.92 120.92 88.42
Closest atoms and distances in Å follow each position.
Fractional coordinates of all 8 atoms:
1 Ga 0.3750 0.2370 0.3620  2 B 2.04
2 Ga 0.7630 0.1250 0.1380  2 B 2.04
3 Ga 0.8750 0.0130 0.6380  2 B 2.04
4 Ga 0.9870 0.6250 0.8620  2 B 2.04
5 B 0.0000 0.0000 0.0000  4 Ga 2.04
6 B 0.7500 0.2500 0.5000  4 Ga 2.04
7 Pb 0.2500 0.7500 0.5000  4 Ga 3.09
8 Pb 0.5000 0.5000 0.0000  4 Ga 3.09

The least stable of them is model one.